# 1
DFT (GGA-PBEsol) results for a relaxed InHgPb2 crystal.

Values from the calculation:
Energy in eV/atom: -2.88
M_tot in μB/f.u.: 0.000

Cell lengths 3.743, 3.743, 7.741 Å; angles 90.00, 90.00, 90.00 degrees
Positions (direct):
In 0.000 0.000 0.000
Hg 0.500 0.500 0.787
Pb 0.000 0.000 0.544
Pb 0.500 0.500 0.259

---

# 2
DFT (GGA-PBEsol) results for a relaxed Sc2AlRh crystal.

Values from the calculation:
Energy in eV/atom: -7.02
M_tot in μB/f.u.: 0.000

Cell lengths 4.548, 4.548, 4.548 Å; angles 60.00, 60.00, 60.00 degrees
Positions (direct):
Sc 0.000 0.000 0.000
Sc 0.250 0.250 0.250
Al 0.500 0.500 0.500
Rh 0.750 0.750 0.750

---

# 3
DFT (GGA-PBEsol) results for a relaxed Ce2NiRu3 crystal.

Values from the calculation:
Energy in eV/atom: -8.59
M_tot in μB/f.u.: 0.001

Cell lengths 5.131, 5.131, 5.131 Å; angles 61.66, 61.66, 61.66 degrees
Positions (direct):
Ce 0.124 0.124 0.124
Ce 0.876 0.876 0.876
Ni 0.500 0.500 0.500
Ru 0.000 0.500 0.500
Ru 0.500 0.000 0.500
Ru 0.500 0.500 0.000

---

# 4
DFT (GGA-PBEsol) results for a relaxed SrH4Cl2O2 crystal.

Values from the calculation:
Energy in eV/atom: -4.84
M_tot in μB/f.u.: 0.000

Cell lengths 6.842, 6.842, 6.530 Å; angles 107.26, 107.26, 55.27 degrees
Positions (direct):
Sr 0.232 0.768 0.750
Sr 0.768 0.232 0.250
H 0.082 0.679 0.109
H 0.134 0.251 0.087
H 0.251 0.134 0.587
H 0.321 0.918 0.391
H 0.679 0.082 0.609
H 0.749 0.866 0.413
H 0.866 0.749 0.913
H 0.918 0.321 0.891
Cl 0.269 0.448 0.324
Cl 0.448 0.269 0.824
Cl 0.552 0.731 0.176
Cl 0.731 0.552 0.676
O 0.027 0.195 0.987
O 0.195 0.027 0.487
O 0.805 0.973 0.513
O 0.973 0.805 0.013

---

# 5
DFT (GGA-PBEsol) results for a relaxed Mg2TlCu crystal.

Values from the calculation:
Energy in eV/atom: -2.64
M_tot in μB/f.u.: 0.000

Cell lengths 3.196, 3.244, 7.398 Å; angles 90.00, 90.00, 90.00 degrees
Positions (direct):
Mg 0.000 0.000 0.203
Mg 0.000 0.000 0.797
Tl 0.500 0.500 0.500
Cu 0.500 0.500 0.000

---

# 6
DFT (GGA-PBEsol) results for a relaxed La2ZrCo crystal.

Values from the calculation:
Energy in eV/atom: -6.56
M_tot in μB/f.u.: 0.462

Cell lengths 5.210, 5.210, 3.432 Å; angles 90.00, 90.00, 90.00 degrees
Positions (direct):
La 0.000 0.500 0.000
La 0.500 0.000 0.000
Zr 0.000 0.000 0.500
Co 0.500 0.500 0.500

---

# 7
DFT (GGA-PBEsol) results for a relaxed In2SbTe crystal.

Values from the calculation:
Formation energy from raw total energies in meV/atom: 81.2
M_tot in μB/f.u.: 0.000

Cell lengths 3.300, 3.300, 9.931 Å; angles 90.00, 90.00, 90.00 degrees
Positions (direct):
In 0.000 0.000 0.000
In 0.500 0.500 0.238
Sb 0.000 0.000 0.463
Te 0.500 0.500 0.766

---

# 8
DFT (GGA-PBEsol) results for a relaxed CdHg crystal.

Values from the calculation:
Energy in eV/atom: -0.86
M_tot in μB/f.u.: 0.000

Cell lengths 3.136, 3.136, 5.076 Å; angles 90.00, 90.00, 120.00 degrees
Positions (direct):
Cd 0.000 0.000 0.000
Hg 0.667 0.333 0.500

---

M_tot of number 2 (Sc2AlRh)? 0.000 μB/f.u.

---

What is the formula in the seventh record? In2SbTe

---

The highest M_tot belongs to which entry? La2ZrCo

---

The highest M_tot belongs to which entry? La2ZrCo